Here is a relaxed structure of Er4SnGe4Pd2 from OQMD. Energies are from PBE.

abc: 8.194 8.194 7.152
angles: 107.03 107.03 29.93
Fractional coordinates of all 11 atoms:
Er  0.086  0.086  0.377
Er  0.156  0.156  0.923
Er  0.844  0.844  0.077
Er  0.914  0.914  0.623
Sn  0.500  0.500  0.000
Ge  0.308  0.308  0.766
Ge  0.437  0.437  0.343
Ge  0.563  0.563  0.657
Ge  0.692  0.692  0.234
Pd  0.281  0.281  0.377
Pd  0.719  0.719  0.623

Summary:
E ... -5.51 eV per atom
Volume ... 20.75 Å³/atom


Here is a relaxed structure of Tl2BAu from OQMD. Energies are from PBE.

abc: 4.967 4.967 4.967
angles: 60.00 60.00 60.00
Fractional coordinates of all 4 atoms:
Tl  0.000  0.000  0.000
Tl  0.250  0.250  0.250
B  0.500  0.500  0.500
Au  0.750  0.750  0.750

Summary:
E ... -2.63 eV per atom
Volume ... 21.67 Å³/atom


Here is a relaxed structure of NaReAs from OQMD. Energies are from PBE.

abc: 4.251 4.251 4.251
angles: 60.00 60.00 60.00
Fractional coordinates of all 3 atoms:
Na  0.000  0.000  0.000
Re  0.500  0.500  0.500
As  0.250  0.250  0.250

Summary:
Polymorph energy (0 for the lowest one) ... 0 meV per atom
Volume ... 18.11 Å³/atom


Here is a relaxed structure of HfGaTc2 from OQMD. Energies are from PBE.

abc: 4.499 4.499 4.499
angles: 60.00 60.00 60.00
Fractional coordinates of all 4 atoms:
Hf  0.000  0.000  0.000
Ga  0.750  0.750  0.750
Tc  0.250  0.250  0.250
Tc  0.500  0.500  0.500

Summary:
E ... -8.49 eV per atom
Volume ... 16.09 Å³/atom


Here is a relaxed structure of DyEr2NiSn3Pt2 from OQMD. Energies are from PBE.

abc: 3.891 7.496 7.496
angles: 120.10 90.00 90.00
Fractional coordinates of all 9 atoms:
Dy  0.000  0.000  0.000
Er  0.000  0.189  0.594
Er  0.000  0.594  0.189
Ni  0.000  0.594  0.594
Sn  0.500  0.345  0.345
Sn  0.500  0.594  0.843
Sn  0.500  0.843  0.594
Pt  0.500  0.263  0.927
Pt  0.500  0.927  0.263

Summary:
E ... -5.81 eV per atom
Volume ... 21.01 Å³/atom


Here is a relaxed structure of NbBr2 from OQMD. Energies are from PBE.

abc: 5.827 5.827 5.827
angles: 60.00 60.00 60.00
Fractional coordinates of all 6 atoms:
Nb  0.125  0.125  0.125
Nb  0.875  0.875  0.875
Br  0.000  0.500  0.500
Br  0.500  0.000  0.500
Br  0.500  0.500  0.000
Br  0.500  0.500  0.500

Summary:
E ... -3.00 eV per atom
Volume ... 23.32 Å³/atom


Here is a relaxed structure of Sm3Cu2Si4Pd2 from OQMD. Energies are from PBE.

abc: 12.566 12.566 12.566
angles: 161.37 160.85 26.84
Fractional coordinates of all 11 atoms:
Sm  0.000  0.000  0.000
Sm  0.348  0.848  0.500
Sm  0.652  0.152  0.500
Cu  0.250  0.250  0.000
Cu  0.750  0.750  0.000
Si  0.197  0.697  0.500
Si  0.451  0.451  0.000
Si  0.549  0.549  0.000
Si  0.803  0.303  0.500
Pd  0.098  0.598  0.500
Pd  0.902  0.402  0.500

Summary:
E ... -5.66 eV per atom
Volume ... 18.89 Å³/atom


Here is a relaxed structure of Co2Mo3 from OQMD. Energies are from PBE.

abc: 5.569 5.569 5.569
angles: 67.71 67.71 67.71
Fractional coordinates of all 10 atoms:
Co  0.088  0.088  0.088
Co  0.412  0.412  0.412
Co  0.588  0.588  0.588
Co  0.912  0.912  0.912
Mo  0.007  0.750  0.493
Mo  0.250  0.507  0.993
Mo  0.493  0.007  0.750
Mo  0.507  0.993  0.250
Mo  0.750  0.493  0.007
Mo  0.993  0.250  0.507

Summary:
Volume ... 14.21 Å³/atom
Energy of formation from the pure elements ... 456 meV/atom


- The highest volume belongs to which entry?
  NbBr2


- Among the records above, which one has the lowest volume?
  Co2Mo3


- volume of number 5 (DyEr2NiSn3Pt2)?
  21.01 Å³/atom